## Na2ZnCu2 (meta-GGA SCAN)

Data for a crystal of Na2ZnCu2 relaxed with PBEsol.

Results
D(E_F)   3.2 states/eV/cell
Formation energy from the elements   0.582 eV per atom

```
data_Na2ZnCu2
_chemical_formula_sum 'Na4 Zn2 Cu4'
_cell_length_a 3.705
_cell_length_b 3.705
_cell_length_c 13.222
_cell_angle_alpha 90.00
_cell_angle_beta 90.00
_cell_angle_gamma 90.00
_symmetry_space_group_name_H-M 'I 4/m m m'
_symmetry_Int_Tables_number 139
_symmetry_space_group_name_Hall '-I 4 2'
loop_
_atom_site_label
_atom_site_type_symbol
_atom_site_fract_x
_atom_site_fract_y
_atom_site_fract_z
Na1 Na 0.000 0.500 0.250
Zn1 Zn 0.000 0.000 0.000
Cu1 Cu 0.000 0.000 0.415
```

---

## LaMg2 (meta-GGA SCAN)

Data for a crystal of LaMg2 relaxed with PBEsol.

Results
D(E_F)   5.4 states/eV/cell
Formation energy from the elements   -0.067 eV per atom

```
data_LaMg2
_chemical_formula_sum 'La2 Mg4'
_cell_length_a 5.3814
_cell_length_b 5.3814
_cell_length_c 6.6811
_cell_angle_alpha 90.00
_cell_angle_beta 90.00
_cell_angle_gamma 120.00
_symmetry_space_group_name_H-M 'P 63/m m c'
_symmetry_Int_Tables_number 194
_symmetry_space_group_name_Hall '-P 6c 2c'
loop_
_atom_site_label
_atom_site_type_symbol
_atom_site_fract_x
_atom_site_fract_y
_atom_site_fract_z
La1 La 0.3333 0.6667 0.2500
Mg1 Mg 0.0000 0.0000 0.0000
Mg2 Mg 0.3333 0.6667 0.7500
```

---

## KAu2Cl (meta-GGA SCAN)

Data for a crystal of KAu2Cl relaxed with PBEsol.

Results
ΔE_f (raw)   -659 meV/atom
D(E_F)   0.8 states/eV/cell
Excess energy over the best structure of this formula in the dataset   10 meV/atom

```
data_KAu2Cl
_chemical_formula_sum 'K1 Au2 Cl1'
_cell_length_a 3.764
_cell_length_b 3.764
_cell_length_c 7.371
_cell_angle_alpha 90.00
_cell_angle_beta 90.00
_cell_angle_gamma 90.00
_symmetry_space_group_name_H-M 'P 4 m m'
_symmetry_Int_Tables_number 99
_symmetry_space_group_name_Hall 'P 4 -2'
loop_
_atom_site_label
_atom_site_type_symbol
_atom_site_fract_x
_atom_site_fract_y
_atom_site_fract_z
K1 K 0.000 0.000 0.000
Au1 Au 0.000 0.000 0.434
Au2 Au 0.500 0.500 0.464
Cl1 Cl 0.500 0.500 0.833
```

---

Please write out number 1 again, unchanged.
## Na2ZnCu2 (meta-GGA SCAN)

Data for a crystal of Na2ZnCu2 relaxed with PBEsol.

Results
D(E_F)   3.2 states/eV/cell
Formation energy from the elements   0.582 eV per atom

```
data_Na2ZnCu2
_chemical_formula_sum 'Na4 Zn2 Cu4'
_cell_length_a 3.705
_cell_length_b 3.705
_cell_length_c 13.222
_cell_angle_alpha 90.00
_cell_angle_beta 90.00
_cell_angle_gamma 90.00
_symmetry_space_group_name_H-M 'I 4/m m m'
_symmetry_Int_Tables_number 139
_symmetry_space_group_name_Hall '-I 4 2'
loop_
_atom_site_label
_atom_site_type_symbol
_atom_site_fract_x
_atom_site_fract_y
_atom_site_fract_z
Na1 Na 0.000 0.500 0.250
Zn1 Zn 0.000 0.000 0.000
Cu1 Cu 0.000 0.000 0.415
```